No. 1
{
  "formula": "TaBeP",
  "functional": "PBE-GGA",
  "state": "optimized geometry",
  "cell": [[2.941, 0.000, 0.000], [-1.470, 2.547, 0.000], [0.000, 0.000, 5.732]],
  "species": ["Ta", "Be", "P"],
  "fractional_positions": [[0.000, 0.000, 0.000], [0.667, 0.333, 0.370], [0.333, 0.667, 0.649]],
  "formation_energy_kj_per_mol_atoms": 22.33,
  "sg": "No. 156",
  "energy_ev_per_cell": -20.3
}


No. 2
{
  "formula": "TaBeP2",
  "functional": "PBE-GGA",
  "state": "optimized geometry",
  "cell": [[1.773, -2.287, 0.000], [1.773, 2.287, 0.000], [0.000, 0.000, 7.974]],
  "species": ["Ta", "Be", "P", "P"],
  "fractional_positions": [[0.000, 0.000, 0.000], [0.500, 0.500, 0.785], [0.000, 0.000, 0.643], [0.500, 0.500, 0.232]],
  "formation_energy_kj_per_mol_atoms": 6.98,
  "sg": "No. 35",
  "energy_ev_per_cell": -26.1
}


No. 3
{
  "formula": "TaBeP2",
  "functional": "PBE-GGA",
  "state": "optimized geometry",
  "cell": [[-2.712, 2.712, 5.090], [2.712, -2.712, 5.090], [2.712, 2.712, -5.090]],
  "species": ["Ta", "Ta", "Be", "Be", "P", "P", "P", "P"],
  "fractional_positions": [[0.000, 0.000, 0.000], [0.750, 0.250, 0.500], [0.250, 0.750, 0.500], [0.500, 0.500, 0.000], [0.162, 0.625, 0.037], [0.375, 0.412, 0.537], [0.588, 0.125, 0.963], [0.875, 0.838, 0.463]],
  "formation_energy_kj_per_mol_atoms": -4.10,
  "sg": "No. 122",
  "energy_ev_per_cell": -53.1
}


No. 4
{
  "formula": "TaBeP2",
  "functional": "PBE-GGA",
  "state": "optimized geometry",
  "cell": [[3.259, 0.000, 0.000], [0.000, 3.259, 0.000], [0.000, 0.000, 4.986]],
  "species": ["Ta", "Be", "P", "P"],
  "fractional_positions": [[0.000, 0.000, 0.000], [0.000, 0.000, 0.500], [0.500, 0.500, 0.271], [0.500, 0.500, 0.729]],
  "formation_energy_kj_per_mol_atoms": -17.87,
  "sg": "No. 123",
  "energy_ev_per_cell": -27.1
}


No. 5
{
  "formula": "Ta2Ti2Be4P",
  "functional": "PBE-GGA",
  "state": "optimized geometry",
  "cell": [[-2.729, 2.729, 4.238], [2.729, -2.729, 4.238], [2.729, 2.729, -4.238]],
  "species": ["Ta", "Ta", "Ti", "Ti", "Be", "Be", "Be", "Be", "P"],
  "fractional_positions": [[0.227, 0.227, 0.000], [0.773, 0.773, 0.000], [0.250, 0.750, 0.500], [0.750, 0.250, 0.500], [0.219, 0.219, 0.437], [0.219, 0.781, 0.000], [0.781, 0.219, 0.000], [0.781, 0.781, 0.563], [0.500, 0.500, 0.000]],
  "formation_energy_kj_per_mol_atoms": 11.65,
  "sg": "No. 139",
  "energy_ev_per_cell": -58.7
}


No. 6
{
  "formula": "TbBeP",
  "functional": "PBE-GGA",
  "state": "optimized geometry",
  "cell": [[0.000, 5.081, 5.807], [3.969, 0.000, 5.807], [3.969, 5.081, 0.000]],
  "species": ["Tb", "Tb", "Tb", "Tb", "Be", "Be", "Be", "Be", "P", "P", "P", "P"],
  "fractional_positions": [[0.035, 0.035, 0.715], [0.285, 0.285, 0.965], [0.715, 0.715, 0.035], [0.965, 0.965, 0.285], [0.000, 0.500, 0.500], [0.500, 0.000, 0.500], [0.500, 0.500, 0.000], [0.500, 0.500, 0.500], [0.138, 0.612, 0.612], [0.388, 0.862, 0.862], [0.612, 0.138, 0.138], [0.862, 0.388, 0.388]],
  "formation_energy_kj_per_mol_atoms": -40.62,
  "sg": "No. 70",
  "energy_ev_per_cell": -60.1
}


No. 7
{
  "formula": "Tb2BeP",
  "functional": "PBE-GGA",
  "state": "optimized geometry",
  "cell": [[1.931, 1.115, 9.012], [-1.931, 1.115, 9.012], [0.000, -2.229, 9.012]],
  "species": ["Tb", "Tb", "Be", "P"],
  "fractional_positions": [[0.109, 0.109, 0.109], [0.891, 0.891, 0.891], [0.000, 0.000, 0.000], [0.500, 0.500, 0.500]],
  "formation_energy_kj_per_mol_atoms": 1.59,
  "sg": "No. 166",
  "energy_ev_per_cell": -18.3
}


No. 8
{
  "formula": "TbBeP",
  "functional": "PBE-GGA",
  "state": "optimized geometry",
  "cell": [[3.710, 0.000, 0.000], [-1.855, 3.213, 0.000], [0.000, 0.000, 4.044]],
  "species": ["Tb", "Be", "P"],
  "fractional_positions": [[0.000, 0.000, 0.000], [0.667, 0.333, 0.500], [0.333, 0.667, 0.500]],
  "formation_energy_kj_per_mol_atoms": -98.07,
  "sg": "No. 187",
  "energy_ev_per_cell": -16.8
}